(1)
A relaxed Mg6MnCr crystal, computed with PBE-GGA.

Output
As for the symmetry: Amm2 (38). The polymorph energy (0 for the lowest one) is 0.0306 eV/atom.

CIF file:
```
data_Mg6MnCr
_chemical_formula_sum 'Mg6 Mn1 Cr1'
_cell_length_a 4.915
_cell_length_b 6.097
_cell_length_c 6.097
_cell_angle_alpha 63.01
_cell_angle_beta 90.00
_cell_angle_gamma 90.00
_symmetry_space_group_name_H-M 'P 1'
_symmetry_Int_Tables_number 1
loop_
_symmetry_equiv_pos_as_xyz
'x,y,z'
loop_
_atom_site_label
_atom_site_type_symbol
_atom_site_fract_x
_atom_site_fract_y
_atom_site_fract_z
Mg1 Mg 0.000 0.000 0.000
Mg2 Mg 0.000 0.006 0.508
Mg3 Mg 0.000 0.499 0.499
Mg4 Mg 0.000 0.508 0.006
Mg5 Mg 0.500 0.328 0.827
Mg6 Mg 0.500 0.827 0.328
Mn1 Mn 0.500 0.825 0.825
Cr1 Cr 0.500 0.325 0.325
```

(2)
A relaxed MgMnCr4 crystal, computed with PBE-GGA.

Output
As for the symmetry: F-43m (216).

CIF file:
```
data_MgMnCr4
_chemical_formula_sum 'Mg1 Mn1 Cr4'
_cell_length_a 4.786
_cell_length_b 4.786
_cell_length_c 4.786
_cell_angle_alpha 60.00
_cell_angle_beta 60.00
_cell_angle_gamma 60.00
_symmetry_space_group_name_H-M 'P 1'
_symmetry_Int_Tables_number 1
loop_
_symmetry_equiv_pos_as_xyz
'x,y,z'
loop_
_atom_site_label
_atom_site_type_symbol
_atom_site_fract_x
_atom_site_fract_y
_atom_site_fract_z
Mg1 Mg 0.000 0.000 0.000
Mn1 Mn 0.750 0.750 0.750
Cr1 Cr 0.374 0.374 0.374
Cr2 Cr 0.374 0.374 0.877
Cr3 Cr 0.374 0.877 0.374
Cr4 Cr 0.877 0.374 0.374
```

(3)
A relaxed Mg14MnCr crystal, computed with PBE-GGA.

Output
As for the symmetry: Amm2 (38). The polymorph energy (0 for the lowest one) is 0.0060 eV/atom.

CIF file:
```
data_Mg14MnCr
_chemical_formula_sum 'Mg14 Mn1 Cr1'
_cell_length_a 10.145
_cell_length_b 6.272
_cell_length_c 6.272
_cell_angle_alpha 60.17
_cell_angle_beta 90.00
_cell_angle_gamma 90.00
_symmetry_space_group_name_H-M 'P 1'
_symmetry_Int_Tables_number 1
loop_
_symmetry_equiv_pos_as_xyz
'x,y,z'
loop_
_atom_site_label
_atom_site_type_symbol
_atom_site_fract_x
_atom_site_fract_y
_atom_site_fract_z
Mg1 Mg 0.000 0.000 0.000
Mg2 Mg 0.000 0.499 0.998
Mg3 Mg 0.000 0.500 0.500
Mg4 Mg 0.000 0.998 0.499
Mg5 Mg 0.255 0.335 0.335
Mg6 Mg 0.256 0.835 0.835
Mg7 Mg 0.264 0.328 0.830
Mg8 Mg 0.264 0.830 0.328
Mg9 Mg 0.500 0.000 0.500
Mg10 Mg 0.500 0.500 0.000
Mg11 Mg 0.736 0.328 0.830
Mg12 Mg 0.736 0.830 0.328
Mg13 Mg 0.744 0.835 0.835
Mg14 Mg 0.745 0.335 0.335
Mn1 Mn 0.500 0.999 0.999
Cr1 Cr 0.500 0.498 0.498
```

no.,size of the total moment (μB per cell),formation energy (eV per atom),energy (eV/atom)
1,7.85,0.24,-3.30
2,0.81,0.29,-7.92
3,8.21,0.11,-2.46